DFT (GGA-PBE) results for a relaxed structure of V6GaH.

Unit cell a=4.360 b=4.911 c=4.964 alpha=96.02 beta=111.69 gamma=91.50
Space group P-1 (No. 2)
Unique sites:
V 0.069 0.296 0.144 [2 per cell]
V 0.213 0.853 0.420 [2 per cell]
V 0.388 0.430 0.722 [2 per cell]
Ga 0.500 0.000 0.000 [1 per cell]
H 0.000 0.500 0.500 [1 per cell]

Computed properties:
Mass density ... 6.379 g cm⁻³
Final energy ... -7.714 eV/atom

***

DFT (GGA-PBE) results for a relaxed structure of Y2Ni4P3Ir.

Unit cell a=3.854 b=3.854 c=9.903 alpha=90.00 beta=90.00 gamma=90.00
Space group P-4m2 (No. 115)
Unique sites:
Y 0.000 0.500 0.244 [2 per cell]
Ni 0.000 0.000 0.000 [1 per cell]
Ni 0.000 0.500 0.652 [2 per cell]
Ni 0.500 0.500 0.000 [1 per cell]
P 0.000 0.500 0.874 [2 per cell]
P 0.500 0.500 0.500 [1 per cell]
Ir 0.000 0.000 0.500 [1 per cell]

Computed properties:
Mass density ... 7.877 g cm⁻³
Final energy ... -6.921 eV/atom
Energy of formation from the pure elements ... -0.8066 eV/atom

***

DFT (GGA-PBE) results for a relaxed structure of PuTlCdSn.

Unit cell a=7.496 b=7.496 c=7.496 alpha=90.00 beta=90.00 gamma=90.00
Space group F-43m (No. 216)
Unique sites:
Pu 0.000 0.000 0.000 [4 per cell]
Tl 0.250 0.250 0.250 [4 per cell]
Cd 0.000 0.000 0.500 [4 per cell]
Sn 0.250 0.250 0.750 [4 per cell]

Computed properties:
Mass density ... 10.714 g cm⁻³
Final energy ... -5.463 eV/atom
Offset from the most stable computed form ... 0.113 eV per atom
Energy of formation from the pure elements ... -0.0593 eV/atom

***

Look up the final energy of the first one.
-7.714 eV/atom

***

Which value of mass density does entry 3 give?
10.714 g cm⁻³